This record from Alexandria describes a relaxed KY2Tc crystal. The functional is PBE-GGA.

Cell: 3.5117 3.5132 11.0776 Å, 71.76 90.00 90.00°
Positions (direct):
1 Tc 0.5000 0.7500 0.7500
2 K 0.5000 0.2500 0.2500
3 Y 0.0000 0.0976 0.9030
4 Y 0.0000 0.4024 0.5970

Symmetry ... No. 10
ΔH_f (0 K) ... 0.1229 eV/atom

This record from Alexandria describes a relaxed SmLu2Cd crystal. The functional is PBE-GGA.

Cell: 4.8182 4.8149 4.8149 Å, 90.00 90.00 90.00°
Site moments in Bohr magnetons follow the coordinates.
Positions (direct):
1 Lu 0.0000 0.5000 0.0000  -0.04
2 Lu 0.0000 0.0000 0.5000  -0.04
3 Cd 0.5000 0.0000 0.0000  0.00
4 Sm 0.5000 0.5000 0.5000  -0.06

Symmetry ... No. 123
ΔH_f (0 K) ... -0.0833 eV/atom

This record from Alexandria describes a relaxed ZrV2GeI crystal. The functional is PBE-GGA.

Cell: 4.6094 5.2042 4.6094 Å, 90.00 90.00 90.00°
Positions (direct):
1 Zr 0.0000 0.5000 0.0000
2 V 0.5000 0.0000 0.0000
3 V 0.0000 0.0000 0.5000
4 I 0.5000 0.5000 0.5000
5 Ge 0.0000 0.0000 0.0000

Formation energy from raw total energies ... 0.848 eV per atom
Symmetry ... No. 123

This record from Alexandria describes a relaxed BaPmIr crystal. The functional is PBE-GGA.

Cell: 5.0238 5.0238 7.5432 Å, 90.00 90.00 90.00°
Positions (direct):
1 Pm 0.0000 0.0000 0.5000
2 Pm 0.5000 0.5000 0.5000
3 Ir 0.0000 0.5000 0.3024
4 Ir 0.5000 0.0000 0.6976
5 Ba 0.0000 0.5000 0.8784
6 Ba 0.5000 0.0000 0.1216

Symmetry ... No. 129
ΔH_f (0 K) ... -0.4000 eV/atom

Copy entry 4 word for word.
This record from Alexandria describes a relaxed BaPmIr crystal. The functional is PBE-GGA.

Cell: 5.0238 5.0238 7.5432 Å, 90.00 90.00 90.00°
Positions (direct):
1 Pm 0.0000 0.0000 0.5000
2 Pm 0.5000 0.5000 0.5000
3 Ir 0.0000 0.5000 0.3024
4 Ir 0.5000 0.0000 0.6976
5 Ba 0.0000 0.5000 0.8784
6 Ba 0.5000 0.0000 0.1216

Symmetry ... No. 129
ΔH_f (0 K) ... -0.4000 eV/atom

What did the first record say?
This record from Alexandria describes a relaxed KY2Tc crystal. The functional is PBE-GGA.

Cell: 3.5117 3.5132 11.0776 Å, 71.76 90.00 90.00°
Positions (direct):
1 Tc 0.5000 0.7500 0.7500
2 K 0.5000 0.2500 0.2500
3 Y 0.0000 0.0976 0.9030
4 Y 0.0000 0.4024 0.5970

Symmetry ... No. 10
ΔH_f (0 K) ... 0.1229 eV/atom